# 1
## PdC8 (PBE-GGA)

Data for a relaxed structure of PdC8.

Output
**Relative energy among the computed polymorphs**: 8 meV/atom
**Symmetry**: No. 191

a b c (Å): 4.969 4.969 4.309
angles (deg): 90.00 90.00 120.00
Fractional coordinates of all 9 atoms:
C 0.335 0.168 0.000
C 0.832 0.168 0.000
C 0.667 0.333 0.000
C 0.168 0.335 0.000
C 0.832 0.665 0.000
C 0.333 0.667 0.000
C 0.168 0.832 0.000
C 0.665 0.832 0.000
Pd 0.000 0.000 0.500

---

# 2
## PdC8 (PBE-GGA)

Data for a relaxed structure of PdC8.

Output
**Relative energy among the computed polymorphs**: 0 meV/atom
**Symmetry**: No. 70

a b c (Å): 9.660 9.000 4.965
angles (deg): 82.07 67.33 30.60
Fractional coordinates of all 18 atoms:
C 0.292 0.957 0.041
C 0.790 0.457 0.043
C 0.460 0.793 0.207
C 0.958 0.293 0.209
C 0.041 0.709 0.292
C 0.541 0.209 0.293
C 0.710 0.043 0.457
C 0.207 0.540 0.460
C 0.793 0.460 0.540
C 0.293 0.958 0.541
C 0.957 0.292 0.709
C 0.457 0.790 0.710
C 0.043 0.710 0.790
C 0.540 0.207 0.793
C 0.709 0.041 0.957
C 0.209 0.541 0.958
Pd 0.000 0.000 0.000
Pd 0.250 0.250 0.250

---

# 3
## Pd5C (PBE-GGA)

Data for a relaxed structure of Pd5C.

Output
**Energy**: -4.516 eV/atom
**Symmetry**: No. 191

a b c (Å): 5.065 5.065 4.614
angles (deg): 90.00 90.00 120.00
Fractional coordinates of all 6 atoms:
C 0.000 0.000 0.000
Pd 0.667 0.333 0.000
Pd 0.333 0.667 0.000
Pd 0.500 0.000 0.500
Pd 0.000 0.500 0.500
Pd 0.500 0.500 0.500